Er2WO6 PBE+U relaxed; V = 13.1 Å³/atom; N(E_F) = 0.000 states/eV/atom; energy above the lowest structure with this stoichiometry = 0.008 eV/atom; crystal system = orthorhombic; total moment = 0.000 μB per cell
1.0
-1.079 -4.994 1.157
8.466 -2.373 -2.351
3.016 1.511 9.336
O W Er
24 4 8
direct
0.322 0.137 0.181 O
0.175 0.546 0.198 O
0.093 0.658 0.468 O
0.822 0.363 0.819 O
0.593 0.842 0.532 O
0.694 0.642 0.736 O
0.235 0.383 0.431 O
0.907 0.158 0.032 O
0.765 0.883 0.069 O
0.806 0.358 0.236 O
0.407 0.342 0.968 O
0.265 0.617 0.931 O
0.246 0.911 0.004 O
0.254 0.089 0.504 O
0.194 0.858 0.264 O
0.754 0.411 0.496 O
0.178 0.863 0.681 O
0.325 0.454 0.698 O
0.678 0.637 0.319 O
0.746 0.589 0.996 O
0.675 0.954 0.802 O
0.825 0.046 0.302 O
0.306 0.142 0.764 O
0.735 0.117 0.569 O
0.963 0.504 0.348 W
0.037 0.004 0.152 W
0.537 0.496 0.848 W
0.463 0.996 0.652 W
0.459 0.719 0.129 Er
0.515 0.104 0.965 Er
0.485 0.604 0.535 Er
0.985 0.896 0.465 Er
0.015 0.396 0.035 Er
0.041 0.281 0.629 Er
0.541 0.219 0.371 Er
0.959 0.781 0.871 Er